No. 1
This record from Alexandria describes a geometry-optimized ThMgSnPb structure. The functional is PBE-GGA.

Size of the total moment in μB per atom: 0.000
Final energy in eV per atom: -4.321
Polymorph energy (0 for the lowest one) in meV per atom: 200
DOS(E_F) in states/eV/atom: 1.118

Cell and atoms, written as POSCAR:
```
ThMgSnPb
1.0
-0.149 -3.861 3.757
-2.302 -4.747 -1.104
3.048 -4.411 -0.546
Pb Th Sn Mg
1 1 1 1
direct
0.750 0.750 0.750 Pb
0.500 0.500 0.500 Th
0.250 0.250 0.250 Sn
0.000 0.000 0.000 Mg
```

***

No. 2
This record from Alexandria describes a geometry-optimized Mg2TlSnPb structure. The functional is PBE-GGA.

Size of the total moment in μB per atom: 0.000
Final energy in eV per atom: -2.298
DOS(E_F) in states/eV/atom: 0.701

Cell and atoms, written as POSCAR:
```
Mg2TlSnPb
1.0
-4.494 0.202 2.872
1.343 -5.229 2.469
2.614 2.519 3.912
Sn Mg Pb Tl
1 2 1 1
direct
0.000 0.000 0.000 Sn
0.000 0.000 0.500 Mg
0.500 0.000 0.000 Mg
0.500 0.500 0.500 Pb
0.000 0.500 0.000 Tl
```

***

No. 3
This record from Alexandria describes a geometry-optimized MgTlSnPb structure. The functional is PBE-GGA.

Size of the total moment in μB per atom: 0.000
Final energy in eV per atom: -2.895
Polymorph energy (0 for the lowest one) in meV per atom: 70
DOS(E_F) in states/eV/atom: 0.447

Cell and atoms, written as POSCAR:
```
MgTlSnPb
1.0
5.414 0.000 0.000
2.707 4.689 0.000
2.707 1.563 4.421
Sn Pb Mg Tl
1 1 1 1
direct
0.250 0.250 0.250 Sn
0.000 0.000 0.000 Pb
0.500 0.500 0.500 Mg
0.750 0.750 0.750 Tl
```